[1]
A geometry-optimized Cs2TiBeV structure. Source: the Alexandria database, functional GGA-PBE.

Unit cell a=6.7828 b=6.7828 c=4.6258 alpha=90.00 beta=90.00 gamma=90.00
Positions (direct):
Cs: 0.0000 0.5000 0.0000
Cs: 0.5000 0.0000 0.0000
Ti: 0.0000 0.0000 0.5000
Be: 0.5000 0.5000 0.5000
V: 0.5000 0.5000 0.0000

Results
The energy of formation is 1.862 eV/atom. The magnetic moment comes out at 3.96 Bohr magnetons per cell. The calculation puts the raw total energy at -2.628 eV/atom.

=====

[2]
A geometry-optimized CsTiBe2Zn structure. Source: the Alexandria database, functional GGA-PBE.

Unit cell a=4.8515 b=4.8515 c=6.1476 alpha=90.00 beta=90.00 gamma=90.00
Positions (direct):
Cs: 0.0000 0.0000 0.0000
Ti: 0.0000 0.0000 0.5000
Be: 0.0000 0.5000 0.5000
Be: 0.5000 0.0000 0.5000
Zn: 0.5000 0.5000 0.0000

Results
The energy of formation is 1.508 eV/atom. The magnetic moment comes out at 3.60 Bohr magnetons per cell. The calculation puts the raw total energy at -1.987 eV/atom.

=====

[3]
A geometry-optimized CsBe2Tl structure. Source: the Alexandria database, functional GGA-PBE.

Unit cell a=5.2871 b=5.2871 c=5.2871 alpha=60.00 beta=60.00 gamma=60.00
Positions (direct):
Cs: 0.0000 0.0000 0.0000
Be: 0.2500 0.2500 0.2500
Be: 0.7500 0.7500 0.7500
Tl: 0.5000 0.5000 0.5000

Results
The energy of formation is 1.181 eV/atom. The magnetic moment comes out at 0.00 Bohr magnetons per cell. The calculation puts the raw total energy at -1.487 eV/atom.

=====

[4]
A geometry-optimized CsBeV structure. Source: the Alexandria database, functional GGA-PBE.

Unit cell a=3.3765 b=3.6059 c=12.4597 alpha=90.59 beta=90.52 gamma=90.00
Positions (direct):
Cs: 0.2401 0.4877 0.1913
Cs: 0.7599 0.5123 0.8087
Be: 0.2522 0.0021 0.5615
Be: 0.7478 0.9979 0.4385
V: 0.2476 0.4975 0.4312
V: 0.7524 0.5025 0.5688

Results
The energy of formation is 0.497 eV/atom. The magnetic moment comes out at 0.00 Bohr magnetons per cell. The calculation puts the raw total energy at -4.069 eV/atom.